This record from the Alexandria database describes a relaxed structure of CdOs2. The functional is PBEsol.

```
CdOs2
1.0
4.4411 0.0000 0.0000
-2.2205 3.8461 0.0000
0.0000 0.0000 2.7679
Cd Os
1 2
Cartesian
0.0000 0.0000 0.0000
0.0000 2.5640 1.3839
2.2205 1.2820 1.3839
```

Output
Total moment ... 0.00 Bohr magnetons per cell
Formation energy ... 2.2 eV/f.u.
Calculated total energy ... -23.4 eV per cell
Distance to the lowest polymorph of the same formula ... 0.422 eV per atom